Compound: BeOsW2
Source: the Alexandria database
Functional: PBE-GGA
Structure: relaxed

Formation enthalpy at 0 K: 0.106 eV per atom
Space-group type: Immm

Lattice parameters (Å, degrees): 5.0525 5.0525 5.0525 144.36 130.82 62.20
With the nearest neighbours (Å) after each atom.
Element x y z (fractional)
Be1 0.0000 0.0000 0.0000  4 Os 2.61, 4 W 2.64
Os1 0.5000 0.5000 0.0000  4 Be 2.61, 4 W 2.68
W1 0.2473 0.7473 0.5000  4 W 2.61, 2 Be 2.64, 2 Os 2.68
W2 0.7527 0.2527 0.5000  4 W 2.61, 2 Be 2.64, 2 Os 2.68